# TaMnTl2

An optimized crystal structure of TaMnTl2 (PBE-GGA, the Alexandria database).

Lattice parameters (Å, degrees): 3.1450 3.1450 8.4619 90.00 90.00 90.06
With the nearest neighbours (Å) after each atom.
Element x y z (fractional)
Tl1 0.5000 0.5000 0.3024  4 Mn 3.02, 4 Tl 3.15, 1 Ta 3.24
Tl2 0.0000 0.0000 0.9691  4 Tl 3.15, 4 Ta 3.28
Ta1 0.5000 0.5000 0.6847  4 Mn 2.52
Mn1 0.0000 0.0000 0.5438  4 Ta 2.52

- N(E_F) (states/eV per cell) = 2.86
- formation energy (kJ per mole of atoms) = 41.2
- E (eV per formula unit) = -24.047
- spin magnetization (μB per atom) = 0.00

=====

# TaMn2Tl

An optimized crystal structure of TaMn2Tl (PBE-GGA, the Alexandria database).

Lattice parameters (Å, degrees): 4.7221 4.7221 5.3536 83.01 83.01 35.96
With the nearest neighbours (Å) after each atom.
Element x y z (fractional)
Tl1 0.2500 0.2500 0.2500  6 Mn 2.85-2.94, 2 Tl 2.92, 4 Ta 3.05
Ta1 0.7500 0.7500 0.7500  6 Mn 2.67-2.79, 2 Ta 2.92
Mn1 0.0012 0.0012 0.9673  3 Ta 2.67-2.79, 4 Mn 2.75-2.92, 3 Tl 2.85-2.94
Mn2 0.4988 0.4988 0.5327  3 Ta 2.67-2.79, 4 Mn 2.75-2.92, 3 Tl 2.85-2.94

- N(E_F) (states/eV per cell) = 3.59
- formation energy (kJ per mole of atoms) = 45.0
- E (eV per formula unit) = -30.694
- spin magnetization (μB per atom) = 1.46

=====

# Ta2MnTl

An optimized crystal structure of Ta2MnTl (PBE-GGA, the Alexandria database).

Lattice parameters (Å, degrees): 3.3476 3.3476 6.4818 90.00 90.00 90.00
With the nearest neighbours (Å) after each atom.
Element x y z (fractional)
Tl1 0.0000 0.0000 0.5153  4 Mn 2.90, 5 Ta 3.03-3.05
Ta1 0.0000 0.0000 0.9854  4 Mn 2.73, 4 Ta 2.83, 1 Tl 3.05
Ta2 0.5000 0.5000 0.2244  4 Ta 2.83, 1 Mn 2.91, 4 Tl 3.03
Mn1 0.5000 0.5000 0.7750  5 Ta 2.73-2.91, 4 Tl 2.90

- N(E_F) (states/eV per cell) = 2.87
- formation energy (kJ per mole of atoms) = 29.1
- E (eV per formula unit) = -34.033
- spin magnetization (μB per atom) = 0.54

=====

# Ta2MnTl

An optimized crystal structure of Ta2MnTl (PBE-GGA, the Alexandria database).

Lattice parameters (Å, degrees): 8.8576 8.8576 8.8576 20.21 20.21 20.21
With the nearest neighbours (Å) after each atom.
Element x y z (fractional)
Ta1 0.4856 0.4856 0.4856  3 Mn 2.54
Ta2 0.0144 0.0144 0.0144  3 Mn 2.54
Mn1 0.7500 0.7500 0.7500  6 Ta 2.54
Tl1 0.2500 0.2500 0.2500  6 Tl 3.11, 6 Ta 3.11

- N(E_F) (states/eV per cell) = 3.39
- formation energy (kJ per mole of atoms) = 42.3
- E (eV per formula unit) = -33.487
- spin magnetization (μB per atom) = 0.00

=====

# TaMn2Tl

An optimized crystal structure of TaMn2Tl (PBE-GGA, the Alexandria database).

Lattice parameters (Å, degrees): 3.0976 3.0976 6.9796 90.00 90.00 90.00
With the nearest neighbours (Å) after each atom.
Element x y z (fractional)
Tl1 0.5000 0.5000 0.7701  4 Mn 2.91, 4 Tl 3.10, 4 Ta 3.17
Ta1 0.0000 0.0000 0.4416  5 Mn 2.59-2.77
Mn1 0.5000 0.5000 0.2440  4 Ta 2.59, 4 Mn 2.60
Mn2 0.0000 0.0000 0.0443  4 Mn 2.60, 1 Ta 2.77

- N(E_F) (states/eV per cell) = 3.58
- formation energy (kJ per mole of atoms) = 35.2
- E (eV per formula unit) = -31.099
- spin magnetization (μB per atom) = 1.02

=====

# TaMnTl4

An optimized crystal structure of TaMnTl4 (PBE-GGA, the Alexandria database).

Lattice parameters (Å, degrees): 6.0407 6.0407 6.0407 60.00 60.00 60.00
With the nearest neighbours (Å) after each atom.
Element x y z (fractional)
Tl1 0.8753 0.3749 0.3749  6 Tl 3.02
Tl2 0.3749 0.3749 0.8753  6 Tl 3.02
Tl3 0.3749 0.8753 0.3749  6 Tl 3.02
Tl4 0.3749 0.3749 0.3749  6 Tl 3.02
Mn1 0.7500 0.7500 0.7500  12 Tl 3.54, 4 Ta 3.70
Ta1 0.0000 0.0000 0.0000  12 Tl 3.54, 4 Mn 3.70

- N(E_F) (states/eV per cell) = 4.68
- formation energy (kJ per mole of atoms) = 107.3
- E (eV per formula unit) = -23.813
- spin magnetization (μB per atom) = 0.44

=====

# Ta2MnTl

An optimized crystal structure of Ta2MnTl (PBE-GGA, the Alexandria database).

Lattice parameters (Å, degrees): 4.3789 3.0098 5.6570 78.19 90.00 90.00
With the nearest neighbours (Å) after each atom.
Element x y z (fractional)
Ta1 0.5000 0.2634 0.2161  1 Mn 2.34
Ta2 0.0000 0.9427 0.9701  2 Mn 2.58, 2 Ta 2.87
Tl1 0.0000 0.6410 0.5004  2 Mn 2.82, 7 Ta 2.95-3.11, 2 Tl 3.01
Mn1 0.5000 0.6529 0.8135  3 Ta 2.34-2.58

- N(E_F) (states/eV per cell) = 2.76
- formation energy (kJ per mole of atoms) = 37.8
- E (eV per formula unit) = -33.672
- spin magnetization (μB per atom) = 0.09

=====

# Ta2Mn2Tl

An optimized crystal structure of Ta2Mn2Tl (PBE-GGA, the Alexandria database).

Lattice parameters (Å, degrees): 4.1702 4.1702 5.8743 69.21 69.21 90.00
With the nearest neighbours (Å) after each atom.
Element x y z (fractional)
Ta1 0.7500 0.2500 0.5000  4 Mn 2.53
Ta2 0.2500 0.7500 0.5000  4 Mn 2.53
Mn1 0.6097 0.6097 0.7806  1 Mn 2.23
Mn2 0.3903 0.3903 0.2194  1 Mn 2.23
Tl1 0.0000 0.0000 0.0000  8 Mn 3.15, 8 Ta 3.29

- N(E_F) (states/eV per cell) = 5.27
- formation energy (kJ per mole of atoms) = 45.9
- E (eV per formula unit) = -42.031
- spin magnetization (μB per atom) = 0.00

=====

# TaMnTl2

An optimized crystal structure of TaMnTl2 (PBE-GGA, the Alexandria database).

Lattice parameters (Å, degrees): 9.6091 9.6091 9.6091 19.35 19.35 19.35
With the nearest neighbours (Å) after each atom.
Element x y z (fractional)
Tl1 0.0064 0.0064 0.0064  9 Tl 3.23-3.44, 3 Ta 3.24
Tl2 0.2376 0.2376 0.2376  3 Mn 2.96, 6 Tl 3.23
Ta1 0.7666 0.7666 0.7666  3 Mn 2.45
Mn1 0.4895 0.4895 0.4895  3 Ta 2.45

- N(E_F) (states/eV per cell) = 3.16
- formation energy (kJ per mole of atoms) = 42.8
- E (eV per formula unit) = -23.980
- spin magnetization (μB per atom) = 0.19

=====

# TaMn2Tl

An optimized crystal structure of TaMn2Tl (PBE-GGA, the Alexandria database).

Lattice parameters (Å, degrees): 4.4101 4.4108 3.3200 90.00 90.00 90.00
With the nearest neighbours (Å) after each atom.
Element x y z (fractional)
Ta1 0.5000 0.0000 0.5000  8 Mn 2.76
Tl1 0.0000 0.5000 0.5000  8 Mn 2.76
Mn1 0.0000 0.0000 0.0000  4 Ta 2.76, 4 Tl 2.76
Mn2 0.5000 0.5000 0.0000  4 Tl 2.76, 4 Ta 2.76

- N(E_F) (states/eV per cell) = 2.90
- formation energy (kJ per mole of atoms) = 35.0
- E (eV per formula unit) = -31.108
- spin magnetization (μB per atom) = 0.98

=====

# TaMn2Tl

An optimized crystal structure of TaMn2Tl (PBE-GGA, the Alexandria database).

Lattice parameters (Å, degrees): 5.1899 5.1899 5.1899 141.69 130.56 64.21
With the nearest neighbours (Å) after each atom.
Element x y z (fractional)
Tl1 0.2477 0.7477 0.5000  8 Mn 2.76-3.04, 4 Ta 2.91-2.97
Ta1 0.5166 0.5166 0.0000  6 Mn 2.64-2.77, 2 Tl 2.91
Mn1 0.9890 0.9890 0.0000  2 Mn 2.73, 4 Ta 2.77, 4 Tl 2.84-3.04
Mn2 0.7467 0.2467 0.5000  2 Ta 2.64, 2 Mn 2.73, 4 Tl 2.76

- N(E_F) (states/eV per cell) = 3.52
- formation energy (kJ per mole of atoms) = 39.9
- E (eV per formula unit) = -30.904
- spin magnetization (μB per atom) = 0.96

=====

# TaMnTl2

An optimized crystal structure of TaMnTl2 (PBE-GGA, the Alexandria database).

Lattice parameters (Å, degrees): 4.7638 3.0762 5.6289 86.59 90.00 90.00
With the nearest neighbours (Å) after each atom.
Element x y z (fractional)
Tl1 0.0000 0.0562 0.0030  2 Mn 2.84, 2 Ta 2.96, 4 Tl 3.02-3.09
Tl2 0.0000 0.4438 0.4970  2 Mn 2.84, 2 Ta 2.96, 4 Tl 3.02-3.09
Ta1 0.5000 0.7500 0.7500  4 Tl 2.96, 2 Ta 3.08, 4 Mn 3.13-3.29
Mn1 0.5000 0.2500 0.2500  4 Tl 2.84, 2 Mn 3.08, 2 Ta 3.13

- N(E_F) (states/eV per cell) = 2.58
- formation energy (kJ per mole of atoms) = 62.9
- E (eV per formula unit) = -23.148
- spin magnetization (μB per atom) = 0.77

=====

# Ta2MnTl

An optimized crystal structure of Ta2MnTl (PBE-GGA, the Alexandria database).

Lattice parameters (Å, degrees): 5.3119 5.3119 4.7116 66.98 66.98 35.63
With the nearest neighbours (Å) after each atom.
Element x y z (fractional)
Mn1 0.7351 0.7351 0.7223  4 Ta 2.55-2.71, 2 Tl 2.78
Tl1 0.4789 0.4789 0.5407  3 Mn 2.78-3.04, 7 Ta 2.88-3.08
Ta1 0.0273 0.0273 0.9937  2 Mn 2.55
Ta2 0.2587 0.2587 0.2433  4 Mn 2.71-3.03, 3 Ta 2.96-3.02

- N(E_F) (states/eV per cell) = 3.58
- formation energy (kJ per mole of atoms) = 40.0
- E (eV per formula unit) = -33.584
- spin magnetization (μB per atom) = 0.25

=====

# Ta2MnTl

An optimized crystal structure of Ta2MnTl (PBE-GGA, the Alexandria database).

Lattice parameters (Å, degrees): 3.9328 3.0030 6.4151 69.41 90.00 90.00
With the nearest neighbours (Å) after each atom.
Element x y z (fractional)
Ta1 0.0000 0.9598 0.9601  2 Mn 2.58, 1 Ta 2.65
Ta2 0.0000 0.5402 0.5399  2 Mn 2.58, 1 Ta 2.65
Tl1 0.5000 0.2500 0.2500  2 Tl 3.00, 8 Ta 3.01-3.04, 2 Mn 3.03
Mn1 0.5000 0.7500 0.7500  4 Ta 2.58

- N(E_F) (states/eV per cell) = 3.33
- formation energy (kJ per mole of atoms) = 36.1
- E (eV per formula unit) = -33.743
- spin magnetization (μB per atom) = 0.20

=====

# Ta3MnTl

An optimized crystal structure of Ta3MnTl (PBE-GGA, the Alexandria database).

Lattice parameters (Å, degrees): 5.0295 5.0295 5.0295 90.00 90.00 90.00
With the nearest neighbours (Å) after each atom.
Element x y z (fractional)
Ta1 0.0000 0.5000 0.0000  2 Tl 2.51
Ta2 0.0000 0.0000 0.5000  2 Tl 2.51
Ta3 0.5000 0.0000 0.0000  2 Tl 2.51
Mn1 0.5000 0.5000 0.5000  12 Ta 3.56
Tl1 0.0000 0.0000 0.0000  6 Ta 2.51

- N(E_F) (states/eV per cell) = 8.50
- formation energy (kJ per mole of atoms) = 283.5
- E (eV per formula unit) = -32.401
- spin magnetization (μB per atom) = 0.20